[1]
Rb3NaLi2Cl6 after structural relaxation, computed with PBE.

POSCAR file:
```
Rb3NaLi2Cl6
1.0
7.5879 0.0000 0.0000
-3.7940 6.5714 0.0000
0.0000 0.0000 8.3613
Cl Li Rb Na
6 2 3 1
Cartesian
1.9145 1.1054 5.9308
3.7940 4.3606 5.9308
1.8794 5.4660 2.4304
5.6734 1.1054 5.9308
-1.8794 5.4660 2.4304
0.0000 2.2107 2.4304
0.0000 4.3809 1.8831
3.7940 2.1904 6.4781
0.0000 0.0000 0.0000
3.7940 2.1904 3.1360
0.0000 4.3809 5.2252
0.0000 0.0000 4.1806
```

N(E_F): 0.000 states/eV per cell
Volume: 416.9 Å³ per cell
Symmetry: P-3m1, No. 164
Raw total energy: -3.387 eV/atom

---

[2]
NaLi2RhCl6 after structural relaxation, computed with PBE.

POSCAR file:
```
NaLi2RhCl6
1.0
6.4188 0.0002 0.0004
3.2096 5.5583 0.0001
3.2093 1.8529 5.9070
Cl Li Rh Na
6 2 1 1
Cartesian
4.5500 3.5586 4.5545
7.2258 5.3977 4.5550
8.6612 3.6049 1.3965
5.2100 1.8143 1.3962
7.4806 2.1609 4.5548
5.3852 5.6978 1.3961
6.4191 3.7058 2.5785
3.2094 1.8533 5.8224
3.2094 1.8528 0.0777
9.6282 5.5586 3.2955
```

N(E_F): 0.000 states/eV per cell
Volume: 210.7 Å³ per cell
Symmetry: R3, No. 146
Raw total energy: -3.654 eV/atom

---

Q: Among the records above, which one has the lowest volume?
A: NaLi2RhCl6

---

Q: Number 2 is which compound?
A: NaLi2RhCl6